Entry 1:
Nd3DyEr2S6: relaxed, PBE.

a = 6.814 Å, b = 11.840 Å, c = 6.986 Å
α = 90.00°, β = 109.05°, γ = 90.00°
Space group C2/m (No. 12)
Unique sites:
Nd: 0.000 0.000 0.000 [2 per cell]
Nd: 0.000 0.334 0.000 [4 per cell]
Dy: 0.000 0.500 0.500 [2 per cell]
Er: 0.000 0.167 0.500 [4 per cell]
S: 0.241 0.000 0.731 [4 per cell]
S: 0.245 0.332 0.732 [8 per cell]

Values from the calculation:
* E: -153.7 eV/cell
* ΔE_f (raw): -2.01 eV/atom

---

Entry 2:
Mn2NiOs: relaxed, PBE.

a = 2.622 Å, b = 4.091 Å, c = 4.466 Å
α = 90.00°, β = 90.00°, γ = 90.00°
Space group Pmm2 (No. 25)
Unique sites:
Mn: 0.000 0.000 0.000 [1 per cell]
Mn: 0.000 0.500 0.327 [1 per cell]
Ni: 0.500 0.500 0.847 [1 per cell]
Os: 0.500 0.000 0.504 [1 per cell]

Values from the calculation:
* E: -35.2 eV/cell

---

Entry 3:
TlGa2Pd: relaxed, PBE.

a = 3.1909 Å, b = 3.1909 Å, c = 28.0124 Å
α = 90.00°, β = 90.00°, γ = 120.00°
Space group R-3m (No. 166, hexagonal axes)
Unique sites:
Tl: 0.0000 0.0000 0.0000 [3 per cell]
Ga: 0.0000 0.0000 0.1004 [6 per cell]
Pd: 0.0000 0.0000 0.5000 [3 per cell]

Values from the calculation:
* distance to the lowest polymorph of the same formula: 0.373 kcal/mol of atoms
* E: -42.9 eV/cell

---

Entry 4:
Er3Cd2: relaxed, PBE.

a = 15.470 Å, b = 5.132 Å, c = 10.915 Å
α = 90.00°, β = 90.53°, γ = 90.00°
Space group C2/m (No. 12)
Unique sites:
Er: 0.000 0.000 0.000 [2 per cell]
Er: 0.005 0.000 0.662 [4 per cell]
Er: 0.161 0.500 0.671 [4 per cell]
Er: 0.168 0.500 0.332 [4 per cell]
Er: 0.171 0.500 0.995 [4 per cell]
Cd: 0.003 0.500 0.164 [4 per cell]
Cd: 0.164 0.000 0.169 [4 per cell]
Cd: 0.169 0.000 0.497 [4 per cell]

Values from the calculation:
* distance to the lowest polymorph of the same formula: 4.067 kcal/mol of atoms
* E: -94.9 eV/cell

---

Entry 5:
Rb2NaSnCl5: relaxed, PBE.

a = 4.598 Å, b = 18.463 Å, c = 13.946 Å
α = 90.00°, β = 90.00°, γ = 90.00°
Space group Cmc2_1 (No. 36)
Unique sites:
Rb: 0.000 0.107 0.000 [4 per cell]
Rb: 0.000 0.149 0.631 [4 per cell]
Na: 0.000 0.221 0.361 [4 per cell]
Sn: 0.000 0.463 0.784 [4 per cell]
Cl: 0.000 0.067 0.391 [4 per cell]
Cl: 0.000 0.279 0.985 [4 per cell]
Cl: 0.000 0.328 0.719 [4 per cell]
Cl: 0.000 0.369 0.320 [4 per cell]
Cl: 0.000 0.495 0.098 [4 per cell]

Values from the calculation:
* E: -122.7 eV/cell
* ΔE_f (raw): -1.58 eV/atom

---

Entry 6:
SrSeBr2: relaxed, PBE.

a = 7.768 Å, b = 7.768 Å, c = 7.768 Å
α = 90.00°, β = 90.00°, γ = 90.00°
Space group Fm-3m (No. 225)
Unique sites:
Sr: 0.000 0.000 0.000 [4 per cell]
Se: 0.000 0.000 0.500 [4 per cell]
Br: 0.250 0.250 0.250 [8 per cell]

Values from the calculation:
* distance to the lowest polymorph of the same formula: 8.788 kcal/mol of atoms
* E: -49.0 eV/cell
* ΔE_f (raw): -0.94 eV/atom

---

Entry 7:
NaHf3Fe: relaxed, PBE.

a = 4.876 Å, b = 4.876 Å, c = 4.876 Å
α = 90.00°, β = 90.00°, γ = 90.00°
Space group Pm-3m (No. 221)
Unique sites:
Na: 0.000 0.000 0.000 [1 per cell]
Hf: 0.000 0.500 0.500 [3 per cell]
Fe: 0.500 0.500 0.500 [1 per cell]

Values from the calculation:
* distance to the lowest polymorph of the same formula: 0.000 kcal/mol of atoms
* E: -37.5 eV/cell

---

Entry 8:
ScHg2IrRh: relaxed, PBE.

a = 5.285 Å, b = 5.285 Å, c = 4.622 Å
α = 90.00°, β = 90.00°, γ = 90.00°
Space group P4/mmm (No. 123)
Unique sites:
Sc: 0.000 0.000 0.000 [1 per cell]
Hg: 0.000 0.500 0.000 [2 per cell]
Ir: 0.000 0.000 0.500 [1 per cell]
Rh: 0.500 0.500 0.500 [1 per cell]

Values from the calculation:
* E: -17.2 eV/cell